1.
Ac2IrSe: relaxed, GGA-PBE.

a = 7.5971 Å, b = 7.5971 Å, c = 7.5971 Å
α = 90.00°, β = 90.00°, γ = 90.00°
Last column: nearest neighbours and their distance in Å.
Space group Fm-3m (No. 225)
Asymmetric unit:
Ac 0.2500 0.2500 0.2500 (multiplicity 8)  4 Se 3.29, 4 Ir 3.29
Ir 0.0000 0.0000 0.0000 (multiplicity 4)  8 Ac 3.29
Se 0.0000 0.0000 0.5000 (multiplicity 4)  8 Ac 3.29

Energy above the lowest structure with this stoichiometry = 375 meV/atom
Total magnetization = 0.000 μB/atom
Crystal system = cubic
Formation energy without anion corrections = -0.89 eV per atom


2.
Ac5IrSe4: relaxed, GGA-PBE.

a = 4.4596 Å, b = 4.4596 Å, c = 31.4521 Å
α = 90.00°, β = 90.00°, γ = 90.00°
Last column: nearest neighbours and their distance in Å.
Space group I4/mmm (No. 139)
Asymmetric unit:
Ac 0.0000 0.0000 0.0000 (multiplicity 2)  4 Ir 3.15, 2 Se 3.23
Ac 0.0000 0.0000 0.2033 (multiplicity 4)  6 Se 3.16-3.19
Ac 0.0000 0.0000 0.4068 (multiplicity 4)  1 Ir 2.93, 5 Se 3.17-3.21
Ir 0.0000 0.0000 0.5000 (multiplicity 2)  6 Ac 2.93-3.15
Se 0.0000 0.0000 0.1026 (multiplicity 4)  6 Ac 3.17-3.23
Se 0.0000 0.0000 0.3048 (multiplicity 4)  6 Ac 3.16-3.21

Total magnetization = 0.000 μB/atom
Crystal system = tetragonal
Formation energy without anion corrections = -1.62 eV per atom


3.
Ac4Ir2Se: relaxed, GGA-PBE.

a = 4.3874 Å, b = 4.3874 Å, c = 43.0714 Å
α = 90.00°, β = 90.00°, γ = 120.00°
Last column: nearest neighbours and their distance in Å.
Space group R-3m (No. 166, hexagonal axes)
Asymmetric unit:
Ac 0.0000 0.0000 0.1238 (multiplicity 6)  3 Ir 2.95
Ac 0.0000 0.0000 0.2846 (multiplicity 6)  3 Ir 3.06, 3 Se 3.29
Ir 0.0000 0.0000 0.4221 (multiplicity 6)  6 Ac 2.95-3.06
Se 0.0000 0.0000 0.0000 (multiplicity 3)  6 Ac 3.29

Total magnetization = 0.000 μB/atom
Crystal system = trigonal
Formation energy without anion corrections = -1.01 eV per atom


4.
Ac2IrSe: relaxed, GGA-PBE.

a = 14.1535 Å, b = 6.2600 Å, c = 6.2510 Å
α = 90.00°, β = 116.20°, γ = 90.00°
Last column: nearest neighbours and their distance in Å.
Space group C2/m (No. 12)
Asymmetric unit:
Ac 0.1094 0.0000 0.3593 (multiplicity 4)  3 Ir 2.98-3.14, 2 Se 3.14
Ac 0.1405 0.5000 0.8907 (multiplicity 4)  3 Ir 2.98-3.14, 2 Se 3.13
Ir 0.1251 0.0000 0.8741 (multiplicity 4)  6 Ac 2.98-3.14
Se 0.1250 0.5000 0.3756 (multiplicity 4)  6 Ac 3.13-3.37

Energy above the lowest structure with this stoichiometry = 27 meV/atom
Total magnetization = 0.000 μB/atom
Crystal system = monoclinic
Formation energy without anion corrections = -1.24 eV per atom